# TbTmRh2 | Alexandria | PBE | relaxed
# Energy above the most stable polymorph in this dataset (eV per atom): 0.002
# Crystal system: tetragonal
data_TbTmRh2
_cell_length_a 4.765
_cell_length_b 4.765
_cell_length_c 3.490
_cell_angle_alpha 90.00
_cell_angle_beta 90.00
_cell_angle_gamma 90.00
_symmetry_space_group_name_H-M 'P 4/m m m'
_symmetry_Int_Tables_number 123
_symmetry_space_group_name_Hall '-P 4 2'
loop_
_atom_site_label
_atom_site_type_symbol
_atom_site_fract_x
_atom_site_fract_y
_atom_site_fract_z
Tb1 Tb 0.000 0.000 0.000
Tm1 Tm 0.500 0.500 0.000
Rh1 Rh 0.000 0.500 0.500

=====

# TbURh2 | Alexandria | PBE | relaxed
# Crystal system: tetragonal
data_TbURh2
_cell_length_a 3.393
_cell_length_b 3.393
_cell_length_c 7.034
_cell_angle_alpha 90.00
_cell_angle_beta 90.00
_cell_angle_gamma 90.00
_symmetry_space_group_name_H-M 'P 4/m m m'
_symmetry_Int_Tables_number 123
_symmetry_space_group_name_Hall '-P 4 2'
loop_
_atom_site_label
_atom_site_type_symbol
_atom_site_fract_x
_atom_site_fract_y
_atom_site_fract_z
Tb1 Tb 0.000 0.000 0.000
U1 U 0.000 0.000 0.500
Rh1 Rh 0.500 0.500 0.271

=====

# TbURh2 | Alexandria | PBE | relaxed
# Crystal system: cubic
data_TbURh2
_cell_length_a 6.856
_cell_length_b 6.856
_cell_length_c 6.856
_cell_angle_alpha 90.00
_cell_angle_beta 90.00
_cell_angle_gamma 90.00
_symmetry_space_group_name_H-M 'F m -3 m'
_symmetry_Int_Tables_number 225
_symmetry_space_group_name_Hall '-F 4 2 3'
loop_
_atom_site_label
_atom_site_type_symbol
_atom_site_fract_x
_atom_site_fract_y
_atom_site_fract_z
Tb1 Tb 0.000 0.000 0.000
U1 U 0.000 0.000 0.500
Rh1 Rh 0.250 0.250 0.250

=====

Sequential total magnetization output: 0.0, 1.8, 9.6 μB per cell
Sequential ΔE_f output: -87.0, -56.9, -51.8 kJ per mole of atoms